# 1
{
  "formula": "LiFe2Au",
  "functional": "PBE-GGA",
  "state": "optimized geometry",
  "formation_enthalpy_0k_ev_per_atom": 0.115,
  "lattice_angstrom": [[-3.8777, -0.7460, -2.1496], [-2.6403, -3.1017, -1.9031], [-2.7809, -1.0555, 3.8725]],
  "species": ["Au", "Fe", "Fe", "Li"],
  "fractional_positions": [[0.2553, 0.2553, 0.2666], [0.0026, 0.0026, 0.9695], [0.7406, 0.7406, 0.7688], [0.5015, 0.5015, 0.4951]]
}

=====

# 2
{
  "formula": "LiFe2Au",
  "functional": "PBE-GGA",
  "state": "optimized geometry",
  "formation_enthalpy_0k_ev_per_atom": 0.316,
  "lattice_angstrom": [[-1.0708, 2.4208, 0.4561], [-1.8574, -1.1201, 1.5844], [4.7489, 0.9280, 6.2232]],
  "species": ["Au", "Fe", "Fe", "Li"],
  "fractional_positions": [[0.5000, 0.5000, 0.7500], [0.0000, 0.0000, 0.0104], [0.0000, 0.0000, 0.4896], [0.5000, 0.5000, 0.2500]]
}

=====

# 3
{
  "formula": "LiFe2Au",
  "functional": "PBE-GGA",
  "state": "optimized geometry",
  "formation_enthalpy_0k_ev_per_atom": 0.286,
  "lattice_angstrom": [[-3.0231, 1.7795, -0.1592], [-1.5539, -2.7734, -1.4915], [-4.6651, -3.7686, 7.7342]],
  "species": ["Au", "Au", "Fe", "Fe", "Fe", "Fe", "Li", "Li"],
  "fractional_positions": [[0.0000, 0.0000, 0.0000], [0.7500, 0.2500, 0.5000], [0.6325, 0.1250, 0.2500], [0.1175, 0.6250, 0.2500], [0.3750, 0.3675, 0.7500], [0.8750, 0.8825, 0.7500], [0.5000, 0.5000, 0.0000], [0.2500, 0.7500, 0.5000]]
}

=====

# 4
{
  "formula": "LiFe2Au",
  "functional": "PBE-GGA",
  "state": "optimized geometry",
  "formation_enthalpy_0k_ev_per_atom": 0.162,
  "lattice_angstrom": [[2.6433, 0.0000, 0.0000], [0.0000, 4.1380, 0.0000], [0.0000, 0.0000, 5.0785]],
  "species": ["Au", "Fe", "Fe", "Li"],
  "fractional_positions": [[0.5000, 0.5000, 0.7500], [0.0000, 0.0000, 0.0121], [0.0000, 0.0000, 0.4879], [0.5000, 0.5000, 0.2500]]
}

=====

# 5
{
  "formula": "LiFeAu2",
  "functional": "PBE-GGA",
  "state": "optimized geometry",
  "formation_enthalpy_0k_ev_per_atom": 0.000,
  "lattice_angstrom": [[-0.3426, 2.2071, -2.5581], [-1.6944, -2.3368, -1.7892], [-4.7517, 1.7815, 2.1734]],
  "species": ["Au", "Au", "Fe", "Li"],
  "fractional_positions": [[0.0000, 0.0000, 0.9671], [0.5000, 0.5000, 0.2804], [0.0000, 0.0000, 0.4865], [0.5000, 0.5000, 0.7661]]
}

=====

# 6
{
  "formula": "LiFe2Au",
  "functional": "PBE-GGA",
  "state": "optimized geometry",
  "formation_enthalpy_0k_ev_per_atom": 0.100,
  "lattice_angstrom": [[4.4164, -0.3870, -0.4316], [1.3952, 4.2081, 0.4316], [-2.6681, -2.2721, 2.7495]],
  "species": ["Au", "Fe", "Fe", "Li"],
  "fractional_positions": [[0.2501, 0.7501, 0.5000], [0.0000, 0.0000, 0.0000], [0.7500, 0.2500, 0.5000], [0.5000, 0.5000, 0.0000]]
}

=====

# 7
{
  "formula": "LiFeAu3",
  "functional": "PBE-GGA",
  "state": "optimized geometry",
  "de_polymorph_mev_per_atom": 157,
  "formation_enthalpy_0k_ev_per_atom": 0.525,
  "lattice_angstrom": [[4.4351, 0.0000, 0.0000], [0.0000, 4.4351, 0.0000], [0.0000, 0.0000, 4.4351]],
  "species": ["Au", "Au", "Au", "Fe", "Li"],
  "fractional_positions": [[0.0000, 0.5000, 0.0000], [0.0000, 0.0000, 0.5000], [0.5000, 0.0000, 0.0000], [0.5000, 0.5000, 0.5000], [0.0000, 0.0000, 0.0000]]
}

=====

# 8
{
  "formula": "LiFe2Au",
  "functional": "PBE-GGA",
  "state": "optimized geometry",
  "formation_enthalpy_0k_ev_per_atom": 0.317,
  "lattice_angstrom": [[9.3106, 0.0018, 0.0011], [8.9190, 2.6718, 0.0011], [8.9190, 1.3081, 2.3297]],
  "species": ["Au", "Fe", "Fe", "Li"],
  "fractional_positions": [[0.7500, 0.7500, 0.7500], [0.9988, 0.9988, 0.9988], [0.5012, 0.5012, 0.5012], [0.2500, 0.2500, 0.2500]]
}